VASP calculation (PBE+U) on an optimized crystal structure of RbNaMnO4.

Output
* final energy: -5.3923 eV per atom

abc: 6.2531 6.2531 6.2531
angles: 60.00 60.00 60.00
Closest atoms and distances in Å follow each position.
Atoms (fractional coordinates):
Rb: 0.0000 0.0000 0.0000  12 O 3.72, 4 Na 3.83
Na: 0.7500 0.7500 0.7500  4 O 2.17
Mn: 0.5000 0.5000 0.5000  4 O 1.66
O: 0.1745 0.6085 0.6085  1 Mn 1.66
O: 0.6085 0.1745 0.6085  1 Mn 1.66
O: 0.6085 0.6085 0.1745  1 Mn 1.66
O: 0.6085 0.6085 0.6085  1 Mn 1.66